Entry 1:
A plane-wave DFT calculation with PBE was carried out for an optimized crystal structure of CaNdUN3.

```
data_CaNdUN3
_space_group_name_H-M_alt 'P 1 21/m 1'
_space_group_IT_number 11
_space_group_name_Hall '-P 2yb'
_cell_length_a 6.1312
_cell_length_b 3.5378
_cell_length_c 8.5855
_cell_angle_alpha 90.00
_cell_angle_beta 90.63
_cell_angle_gamma 90.00
loop_
_atom_site_label
_atom_site_type_symbol
_atom_site_fract_x
_atom_site_fract_y
_atom_site_fract_z
Ca1 Ca 0.2482 0.2500 0.4989
Nd1 Nd 0.0822 0.7500 0.1629
U1 U 0.4137 0.7500 0.8276
N1 N 0.1231 0.7500 0.6796
N2 N 0.2906 0.2500 0.9879
N3 N 0.4470 0.7500 0.3078
```

* uncorrected formation energy: -8.08 eV/f.u.


Entry 2:
A plane-wave DFT calculation with PBE was carried out for an optimized crystal structure of AcYTe3Pd.

```
data_AcYTe3Pd
_space_group_name_H-M_alt 'P 1 21/m 1'
_space_group_IT_number 11
_space_group_name_Hall '-P 2yb'
_cell_length_a 8.6022
_cell_length_b 4.3982
_cell_length_c 10.0744
_cell_angle_alpha 90.00
_cell_angle_beta 102.00
_cell_angle_gamma 90.00
loop_
_atom_site_label
_atom_site_type_symbol
_atom_site_fract_x
_atom_site_fract_y
_atom_site_fract_z
Ac1 Ac 0.1819 0.2500 0.2794
Y1 Y 0.3222 0.7500 0.8264
Te1 Te 0.0906 0.2500 0.8724
Te2 Te 0.2564 0.7500 0.5267
Te3 Te 0.4175 0.7500 0.1506
Pd1 Pd 0.0818 0.2500 0.5971
```

* uncorrected formation energy: -7.89 eV/f.u.


Entry 3:
A plane-wave DFT calculation with PBE was carried out for an optimized crystal structure of Ga6Cu8Au.

```
data_Ga6Cu8Au
_space_group_name_H-M_alt 'P 6/m'
_space_group_IT_number 175
_space_group_name_Hall '-P 6'
_cell_length_a 9.5861
_cell_length_b 9.5861
_cell_length_c 2.8060
_cell_angle_alpha 90.00
_cell_angle_beta 90.00
_cell_angle_gamma 120.00
loop_
_atom_site_label
_atom_site_type_symbol
_atom_site_fract_x
_atom_site_fract_y
_atom_site_fract_z
Ga1 Ga 0.1026 0.4522 0.0000
Cu1 Cu 0.0937 0.8018 0.5000
Cu2 Cu 0.3333 0.6667 0.5000
Au1 Au 0.0000 0.0000 0.0000
```

* DFT formation energy: 0.0273 eV/atom


Entry 4:
A plane-wave DFT calculation with PBE was carried out for an optimized crystal structure of Pr2Ga3Au9.

```
data_Pr2Ga3Au9
_space_group_name_H-M_alt 'C 1 2/c 1'
_space_group_IT_number 15
_space_group_name_Hall '-C 2yc'
_cell_length_a 14.0904
_cell_length_b 8.0936
_cell_length_c 10.8917
_cell_angle_alpha 90.00
_cell_angle_beta 115.62
_cell_angle_gamma 90.00
loop_
_atom_site_label
_atom_site_type_symbol
_atom_site_fract_x
_atom_site_fract_y
_atom_site_fract_z
Pr1 Pr 0.1677 0.0848 0.2458
Ga1 Ga 0.0872 0.2256 0.4943
Ga2 Ga 0.2500 0.2500 0.0000
Au1 Au 0.0000 0.3622 0.2500
Au2 Au 0.0582 0.0879 0.9163
Au3 Au 0.1065 0.4107 0.0670
Au4 Au 0.1105 0.3130 0.7389
Au5 Au 0.2226 0.4190 0.4287
```

* DFT formation energy: -0.4943 eV/atom


Entry 5:
A plane-wave DFT calculation with PBE was carried out for an optimized crystal structure of Ca2MgIn2Pd5.

```
data_Ca2MgIn2Pd5
_space_group_name_H-M_alt 'P 4/m b m'
_space_group_IT_number 127
_space_group_name_Hall '-P 4 2ab'
_cell_length_a 10.6088
_cell_length_b 10.6088
_cell_length_c 3.6045
_cell_angle_alpha 90.00
_cell_angle_beta 90.00
_cell_angle_gamma 90.00
loop_
_atom_site_label
_atom_site_type_symbol
_atom_site_fract_x
_atom_site_fract_y
_atom_site_fract_z
Ca1 Ca 0.1690 0.3310 0.0000
Mg1 Mg 0.0000 0.0000 0.0000
In1 In 0.1323 0.6323 0.0000
Pd1 Pd 0.0000 0.5000 0.5000
Pd2 Pd 0.0538 0.8083 0.5000
```

* DFT formation energy: -0.5646 eV/atom


Entry 6:
A plane-wave DFT calculation with PBE was carried out for an optimized crystal structure of Ba8Ga2P.

```
data_Ba8Ga2P
_space_group_name_H-M_alt 'C 1 2/m 1'
_space_group_IT_number 12
_space_group_name_Hall '-C 2y'
_cell_length_a 21.9867
_cell_length_b 4.4855
_cell_length_c 11.3618
_cell_angle_alpha 90.00
_cell_angle_beta 91.82
_cell_angle_gamma 90.00
loop_
_atom_site_label
_atom_site_type_symbol
_atom_site_fract_x
_atom_site_fract_y
_atom_site_fract_z
Ba1 Ba 0.0101 0.0000 0.1939
Ba2 Ba 0.1013 0.5000 0.5411
Ba3 Ba 0.1457 0.5000 0.9719
Ba4 Ba 0.2289 0.0000 0.3095
Ga1 Ga 0.1586 0.0000 0.7409
P1 P 0.0000 0.5000 0.0000
```

* DFT formation energy: -0.3260 eV/atom


Entry 7:
A plane-wave DFT calculation with PBE was carried out for an optimized crystal structure of CsTcC3.

```
data_CsTcC3
_space_group_name_H-M_alt 'P m -3 m'
_space_group_IT_number 221
_space_group_name_Hall '-P 4 2 3'
_cell_length_a 4.3109
_cell_length_b 4.3109
_cell_length_c 4.3109
_cell_angle_alpha 90.00
_cell_angle_beta 90.00
_cell_angle_gamma 90.00
loop_
_atom_site_label
_atom_site_type_symbol
_atom_site_fract_x
_atom_site_fract_y
_atom_site_fract_z
Cs1 Cs 0.0000 0.0000 0.0000
Tc1 Tc 0.5000 0.5000 0.5000
C1 C 0.0000 0.0000 0.5000
```

* DFT formation energy: 4.6789 eV/atom
* offset from the most stable computed form: 2897 meV/atom


Entry 8:
A plane-wave DFT calculation with PBE was carried out for an optimized crystal structure of HgH2Au2.

```
data_HgH2Au2
_space_group_name_H-M_alt 'P -1'
_space_group_IT_number 2
_space_group_name_Hall '-P 1'
_cell_length_a 4.7744
_cell_length_b 4.9644
_cell_length_c 6.9762
_cell_angle_alpha 91.46
_cell_angle_beta 108.50
_cell_angle_gamma 118.74
loop_
_atom_site_label
_atom_site_type_symbol
_atom_site_fract_x
_atom_site_fract_y
_atom_site_fract_z
Hg1 Hg 0.0000 0.0000 0.0000
H1 H 0.0378 0.5179 0.5586
Au1 Au 0.3322 0.6652 0.9990
```

* offset from the most stable computed form: 0 meV/atom


Entry 9:
A plane-wave DFT calculation with PBE was carried out for an optimized crystal structure of Pa2Tc4Ge3.

```
data_Pa2Tc4Ge3
_space_group_name_H-M_alt 'C m c e'
_space_group_IT_number 64
_space_group_name_Hall '-C 2ac 2'
_cell_length_a 5.4490
_cell_length_b 15.6207
_cell_length_c 7.4230
_cell_angle_alpha 90.00
_cell_angle_beta 90.00
_cell_angle_gamma 90.00
loop_
_atom_site_label
_atom_site_type_symbol
_atom_site_fract_x
_atom_site_fract_y
_atom_site_fract_z
Pa1 Pa 0.0000 0.1032 0.0935
Tc1 Tc 0.0000 0.1767 0.4802
Tc2 Tc 0.2500 0.0716 0.7500
Ge1 Ge 0.0000 0.0000 0.5000
Ge2 Ge 0.2500 0.2346 0.7500
```

* DFT formation energy: -0.3551 eV/atom


Entry 10:
A plane-wave DFT calculation with PBE was carried out for an optimized crystal structure of HfNbHgGe2.

```
data_HfNbHgGe2
_space_group_name_H-M_alt 'P 4/m m m'
_space_group_IT_number 123
_space_group_name_Hall '-P 4 2'
_cell_length_a 5.1338
_cell_length_b 5.1338
_cell_length_c 5.0709
_cell_angle_alpha 90.00
_cell_angle_beta 90.00
_cell_angle_gamma 90.00
loop_
_atom_site_label
_atom_site_type_symbol
_atom_site_fract_x
_atom_site_fract_y
_atom_site_fract_z
Hf1 Hf 0.0000 0.0000 0.0000
Nb1 Nb 0.0000 0.0000 0.5000
Hg1 Hg 0.5000 0.5000 0.5000
Ge1 Ge 0.0000 0.5000 0.0000
```

* DFT formation energy: 0.9304 eV/atom
* offset from the most stable computed form: 370 meV/atom


Entry 11:
A plane-wave DFT calculation with PBE was carried out for an optimized crystal structure of MnZnSb2.

```
data_MnZnSb2
_space_group_name_H-M_alt 'P m m m'
_space_group_IT_number 47
_space_group_name_Hall '-P 2 2'
_cell_length_a 3.9026
_cell_length_b 4.1853
_cell_length_c 5.2746
_cell_angle_alpha 90.00
_cell_angle_beta 90.00
_cell_angle_gamma 90.00
loop_
_atom_site_label
_atom_site_type_symbol
_atom_site_fract_x
_atom_site_fract_y
_atom_site_fract_z
Mn1 Mn 0.0000 0.0000 0.0000
Zn1 Zn 0.0000 0.5000 0.5000
Sb1 Sb 0.5000 0.0000 0.5000
Sb2 Sb 0.5000 0.5000 0.0000
```

* uncorrected formation energy: 1.08 eV/f.u.


Entry 12:
A plane-wave DFT calculation with PBE was carried out for an optimized crystal structure of La2InSb2.

```
data_La2InSb2
_space_group_name_H-M_alt 'P 4/m b m'
_space_group_IT_number 127
_space_group_name_Hall '-P 4 2ab'
_cell_length_a 8.7195
_cell_length_b 8.7195
_cell_length_c 4.2171
_cell_angle_alpha 90.00
_cell_angle_beta 90.00
_cell_angle_gamma 90.00
loop_
_atom_site_label
_atom_site_type_symbol
_atom_site_fract_x
_atom_site_fract_y
_atom_site_fract_z
La1 La 0.1428 0.3572 0.0000
In1 In 0.0000 0.0000 0.0000
Sb1 Sb 0.1626 0.6626 0.5000
```

* offset from the most stable computed form: 111 meV/atom
* uncorrected formation energy: -3.90 eV/f.u.


What is the formula in the tenth record?
HfNbHgGe2